No. 1
Compound: AcCu2Au
Source: Alexandria
Functional: PBE
Structure: relaxed

Computed properties:
E_form = -320 meV per atom
DOS(E_F) = 0.5135 states/eV per atom
Volume = 21.81 Å³ per atom

Cell lengths 4.493, 4.493, 5.623 Å; angles 66.45, 66.45, 60.00 degrees
Element x y z (fractional)
Ac 0.000 0.000 0.000
Au 0.500 0.500 0.500
Cu 0.797 0.797 0.608
Cu 0.203 0.203 0.392

***

No. 2
Compound: Sm2Dy3Er6
Source: Alexandria
Functional: PBE
Structure: relaxed

Computed properties:
E_form = 190 meV per atom
DOS(E_F) = 1.6536 states/eV per atom
Volume = 33.18 Å³ per atom

Cell lengths 6.069, 6.077, 11.605 Å; angles 84.95, 79.85, 60.04 degrees
Element x y z (fractional)
Sm 0.166 0.667 0.500
Sm 0.834 0.333 0.500
Dy 0.000 0.000 0.000
Dy 0.335 0.330 0.000
Dy 0.665 0.670 0.000
Er 0.416 0.667 0.752
Er 0.750 0.000 0.752
Er 0.083 0.333 0.752
Er 0.250 0.000 0.248
Er 0.584 0.333 0.248
Er 0.917 0.667 0.248

***

No. 3
Compound: Si2SnRhO
Source: Alexandria
Functional: PBE
Structure: relaxed

Computed properties:
DOS(E_F) = 0.3539 states/eV per atom
Volume = 16.32 Å³ per atom
Formation energy (no corrections) = -0.6531 eV per atom

Cell lengths 3.039, 4.301, 6.440 Å; angles 88.03, 76.71, 85.04 degrees
Element x y z (fractional)
Si 0.720 0.941 0.850
Si 0.147 0.386 0.799
Sn 0.305 0.124 0.345
Rh 0.733 0.631 0.546
O 0.926 0.646 0.000

***

No. 4
Compound: TaFe4
Source: Alexandria
Functional: PBE
Structure: relaxed

Computed properties:
E_form = 1670 meV per atom
DOS(E_F) = 1.3993 states/eV per atom
Volume = 17.75 Å³ per atom

Cell lengths 4.460, 4.460, 4.460 Å; angles 90.00, 90.00, 90.00 degrees
Last column: magnetic moment on the atom in μB.
Element x y z (fractional)
Fe 0.000 0.000 0.000  3.23
Fe 0.500 0.000 0.500  1.75
Fe 0.000 0.500 0.500  1.75
Fe 0.500 0.500 0.000  1.75
Ta 0.500 0.500 0.500  -0.49

***

No. 5
Compound: InMoAs4
Source: Alexandria
Functional: PBE
Structure: relaxed

Computed properties:
E_form = 710 meV per atom
DOS(E_F) = 0.7319 states/eV per atom
Volume = 19.84 Å³ per atom

Cell lengths 5.522, 5.522, 5.522 Å; angles 60.00, 60.00, 60.00 degrees
Last column: magnetic moment on the atom in μB.
Element x y z (fractional)
In 0.750 0.750 0.750  -0.01
Mo 0.000 0.000 0.000  0.55
As 0.880 0.373 0.373  -0.01
As 0.373 0.373 0.880  -0.01
As 0.373 0.880 0.373  -0.01
As 0.373 0.373 0.373  -0.01

***

No. 6
Compound: NaTePdC2
Source: Alexandria
Functional: PBE
Structure: relaxed

Computed properties:
DOS(E_F) = 0.7946 states/eV per atom
Volume = 17.64 Å³ per atom
Formation energy (no corrections) = 2.5837 eV per atom

Cell lengths 4.286, 4.803, 4.286 Å; angles 90.00, 90.00, 90.00 degrees
Element x y z (fractional)
Na 0.000 0.000 0.000
C 0.000 0.000 0.500
C 0.500 0.000 0.000
Te 0.500 0.500 0.500
Pd 0.000 0.500 0.000

***

No. 7
Compound: GaCu2Sb2
Source: Alexandria
Functional: PBE
Structure: relaxed

Computed properties:
DOS(E_F) = 0.3637 states/eV per atom
Volume = 20.21 Å³ per atom
Formation energy (no corrections) = 0.2157 eV per atom

Cell lengths 8.155, 8.155, 3.039 Å; angles 90.00, 90.00, 90.00 degrees
Element x y z (fractional)
Sb 0.324 0.824 0.000
Sb 0.824 0.676 0.000
Sb 0.676 0.176 0.000
Sb 0.176 0.324 0.000
Cu 0.115 0.615 0.500
Cu 0.615 0.885 0.500
Cu 0.885 0.385 0.500
Cu 0.385 0.115 0.500
Ga 0.000 0.000 0.000
Ga 0.500 0.500 0.000

***

No. 8
Compound: Er2Tm5Sc3
Source: Alexandria
Functional: PBE
Structure: relaxed

Computed properties:
E_form = 213 meV per atom
DOS(E_F) = 1.7093 states/eV per atom
Volume = 29.90 Å³ per atom

Cell lengths 10.284, 9.156, 10.770 Å; angles 128.67, 130.94, 65.26 degrees
Element x y z (fractional)
Er 0.804 0.997 0.759
Er 0.196 0.003 0.241
Er 0.455 0.761 0.759
Er 0.545 0.239 0.241
Tm 0.247 0.497 0.994
Tm 0.753 0.503 0.006
Tm 0.001 0.751 0.503
Tm 0.536 0.286 0.573
Tm 0.999 0.249 0.497
Tm 0.464 0.714 0.427
Tm 0.819 0.596 0.746
Tm 0.181 0.404 0.254
Tm 0.427 0.150 0.746
Tm 0.573 0.850 0.254
Sc 0.224 0.974 0.948
Sc 0.776 0.026 0.052
Sc 0.696 0.457 0.236
Sc 0.304 0.543 0.764
Sc 0.039 0.779 0.236
Sc 0.961 0.221 0.764

***

No. 9
Compound: BaCa2ReAs
Source: Alexandria
Functional: PBE
Structure: relaxed

Computed properties:
E_form = 138 meV per atom
DOS(E_F) = 0.9768 states/eV per atom
Volume = 31.48 Å³ per atom

Cell lengths 5.683, 4.873, 5.683 Å; angles 90.00, 90.00, 90.00 degrees
Element x y z (fractional)
Re 0.000 0.000 0.000
As 0.000 0.500 0.000
Ca 0.000 0.000 0.500
Ca 0.500 0.000 0.000
Ba 0.500 0.500 0.500

***

No. 10
Compound: KCa2PbF8
Source: Alexandria
Functional: PBE
Structure: relaxed

Computed properties:
DOS(E_F) = 0.2581 states/eV per atom
Volume = 15.46 Å³ per atom
Formation energy (no corrections) = -3.0964 eV per atom

Cell lengths 4.089, 5.728, 7.921 Å; angles 90.00, 90.00, 90.00 degrees
Element x y z (fractional)
K 0.000 0.000 0.500
Ca 0.500 0.500 0.737
Ca 0.500 0.500 0.263
Pb 0.000 0.000 0.000
F 0.000 0.732 0.223
F 0.500 0.764 0.000
F 0.000 0.268 0.223
F 0.000 0.268 0.777
F 0.500 0.236 0.000
F 0.000 0.732 0.777
F 0.500 0.723 0.500
F 0.500 0.277 0.500

***

No. 11
Compound: PmDySc2S4
Source: Alexandria
Functional: PBE
Structure: relaxed

Computed properties:
DOS(E_F) = 0.5872 states/eV per atom
Volume = 19.91 Å³ per atom
Formation energy (no corrections) = -1.9228 eV per atom

Cell lengths 3.791, 6.709, 6.622 Å; angles 71.04, 90.00, 90.00 degrees
Element x y z (fractional)
Pm 0.500 0.500 0.000
Dy 0.000 0.500 0.500
Sc 0.000 0.000 0.000
Sc 0.500 0.000 0.500
S 0.000 0.774 0.737
S 0.000 0.226 0.263
S 0.500 0.770 0.248
S 0.500 0.230 0.752

***

No. 12
Compound: MgNiHg
Source: Alexandria
Functional: PBE
Structure: relaxed

Computed properties:
E_form = -6 meV per atom
DOS(E_F) = 0.6040 states/eV per atom
Volume = 17.56 Å³ per atom

Cell lengths 4.487, 4.487, 3.020 Å; angles 90.00, 90.00, 120.00 degrees
Element x y z (fractional)
Hg 0.000 0.000 0.837
Mg 0.333 0.667 0.334
Ni 0.667 0.333 0.829